No. 1
{
  "formula": "Cs8NaAg2",
  "functional": "PBE",
  "state": "relaxed",
  "cell": [[-2.246, -6.398, 3.712], [10.671, -1.996, 0.276], [-2.908, 7.081, 7.704]],
  "species": ["Cs", "Cs", "Cs", "Cs", "Cs", "Cs", "Cs", "Cs", "Na", "Ag", "Ag"],
  "fractional_positions": [[0.915, 0.942, 0.670], [0.915, 0.670, 0.942], [0.287, 0.618, 0.618], [0.500, 0.748, 0.252], [0.500, 0.252, 0.748], [0.713, 0.382, 0.382], [0.085, 0.330, 0.058], [0.085, 0.058, 0.330], [0.500, 0.000, 0.000], [0.000, 0.317, 0.683], [0.000, 0.683, 0.317]],
  "space_group": "C2/m, No. 12",
  "delta_e_f_kj_per_mol_atoms": 3
}

***

No. 2
{
  "formula": "CsNa2Ag",
  "functional": "PBE",
  "state": "relaxed",
  "cell": [[6.270, 0.000, 0.000], [0.000, 6.270, 0.000], [3.135, 3.135, 10.387]],
  "species": ["Cs", "Cs", "Na", "Na", "Na", "Na", "Ag", "Ag"],
  "fractional_positions": [[0.000, 0.000, 0.000], [0.750, 0.250, 0.500], [0.375, 0.125, 0.250], [0.375, 0.625, 0.250], [0.375, 0.625, 0.750], [0.875, 0.625, 0.750], [0.500, 0.500, 0.000], [0.250, 0.750, 0.500]],
  "e_above_lowest_polymorph_kcal_per_mol_atoms": 2.46,
  "space_group": "I4_1/amd, No. 141",
  "delta_e_f_kj_per_mol_atoms": 14
}